## Sr2ReP2 (PBE)

Data for a relaxed structure of Sr2ReP2.

The structure in POSCAR format:
```
Sr2ReP2
1.0
6.5129 0.0000 0.0000
0.0000 6.5129 0.0000
0.0000 0.0000 4.8711
Sr Re P
4 2 4
direct
0.1805 0.3195 0.0000 Sr
0.3195 0.8195 0.0000 Sr
0.6805 0.1805 0.0000 Sr
0.8195 0.6805 0.0000 Sr
0.0000 0.0000 0.5000 Re
0.5000 0.5000 0.5000 Re
0.1368 0.6368 0.5000 P
0.3632 0.1368 0.5000 P
0.6368 0.8632 0.5000 P
0.8632 0.3632 0.5000 P
```

## Properties
total magnetization	0.000	μB/atom
total DFT energy (no corrections)	-5.7125	eV per atom
ΔH_f (0 K)	-0.386	eV/atom